Computed, not measured: La2CoSe after structural relaxation at the PBE level of DFT.

```
La2CoSe
1.0
2.3232 -2.7966 0.0000
2.3232 2.7966 0.0000
0.0000 0.0000 7.4812
La Co Se
2 1 1
direct
0.0000 0.0000 0.2252
0.0000 0.0000 0.7748
0.5000 0.5000 0.0000
0.5000 0.5000 0.5000
```

## Properties
DFT total energy   -23.60 eV/cell
DOS(E_F)   2.17 states/eV/f.u.
Symmetry   Cmmm, No. 65
Formation energy (no corrections)   -0.788 eV/atom


Computed, not measured: Tb2PrSc after structural relaxation at the PBE level of DFT.

```
Tb2PrSc
1.0
1.7739 1.0241 11.4110
-1.7739 1.0241 11.4110
0.0000 -2.0483 11.4110
Tb Pr Sc
2 1 1
direct
0.0000 0.0000 0.0000
0.1763 0.1763 0.1763
0.4216 0.4216 0.4216
0.5878 0.5878 0.5878
```

## Properties
Relative energy among the computed polymorphs   0.021 eV/atom
DFT total energy   -20.17 eV/cell
DOS(E_F)   5.84 states/eV/f.u.
Symmetry   R3m, No. 160
Formation energy from the elements   0.0515 eV/atom


Computed, not measured: Sm2ErMg after structural relaxation at the PBE level of DFT.

```
Sm2ErMg
1.0
1.7644 1.0187 11.4357
-1.7644 1.0187 11.4357
0.0000 -2.0374 11.4357
Sm Er Mg
2 1 1
direct
0.0000 0.0000 0.0000
0.1649 0.1649 0.1649
0.5821 0.5821 0.5821
0.7492 0.7492 0.7492
```

## Properties
Relative energy among the computed polymorphs   0.067 eV/atom
DFT total energy   -15.43 eV/cell
DOS(E_F)   4.80 states/eV/f.u.
Symmetry   R3m, No. 160
Formation energy from the elements   0.0404 eV/atom


Computed, not measured: TlRh2W after structural relaxation at the PBE level of DFT.

```
TlRh2W
1.0
2.8949 0.0000 0.0000
0.0000 2.8949 0.0000
0.0000 0.0000 7.9372
Tl Rh W
1 2 1
direct
0.0000 0.0000 0.0000
0.5000 0.5000 0.2752
0.5000 0.5000 0.7248
0.0000 0.0000 0.5000
```

## Properties
Relative energy among the computed polymorphs   0.000 eV/atom
DFT total energy   -30.08 eV/cell
DOS(E_F)   2.51 states/eV/f.u.
Symmetry   P4/mmm, No. 123
Formation energy from the elements   -0.0142 eV/atom